Here is an optimized crystal structure of Cs4Ac3MnO8 from Alexandria via LeMat-Bulk. Energies are from GGA+U.

abc: 7.3559 8.0375 7.7812
angles: 114.76 118.21 90.00
With the nearest neighbours (Å) after each atom.
Atoms (fractional coordinates):
1 Ac 0.5000 0.5000 0.0000  6 O 2.52-2.60
2 Ac 0.5000 0.5000 0.5000  6 O 2.46-2.67
3 Ac 0.0000 0.5000 0.5000  6 O 2.46-2.67
4 O 0.7087 0.6745 0.4173  3 Ac 2.52-2.54
5 O 0.2782 0.7214 0.5564  2 Ac 2.46
6 O 0.7218 0.2786 0.4436  2 Ac 2.46
7 O 0.7672 0.6394 0.9357  1 Mn 2.02
8 O 0.8315 0.3606 0.0643  1 Mn 2.02
9 O 0.1685 0.6394 0.9357  1 Mn 2.02
10 O 0.2913 0.3255 0.5827  3 Ac 2.52-2.54
11 O 0.2328 0.3606 0.0643  1 Mn 2.02
12 Cs 0.5000 0.0000 0.0000  2 O 2.79
13 Cs 0.5000 0.0000 0.5000  4 O 3.02-3.06
14 Cs 0.0000 0.0000 0.0000  4 O 3.09
15 Cs 0.0000 0.0000 0.5000  4 O 3.02-3.06
16 Mn 0.0000 0.5000 0.0000  4 O 2.02

Properties
E = -6.083 eV/atom